Here is a relaxed structure of PrH2 from Alexandria via LeMat-Bulk. Energies are from GGA-PBEsol.

It has space group Fm-3m (No. 225), with a = 5.473 Å, b = 5.473 Å, c = 5.473 Å, α = 90.00°, β = 90.00° and γ = 90.00°. The distinct sites, in fractional coordinates, are Pr at (0.000, 0.000, 0.000) and H at (0.250, 0.250, 0.250).

The value obtained for the total magnetization is 0.000 μB/f.u. For the volume, the calculation gives 163.9 Å³ per cell. Its density of states at the Fermi level is 0.768 states/eV/f.u. For the energy, the calculation gives -4.570 eV/atom.